(1)
14
Lattice="-3.966 4.019 5.671 3.966 -4.019 5.671 3.966 4.019 -5.671" Properties=species:S:1:pos:R:3 comment="LiPaSbS4, relaxed, DFT GGA-PBE" space_group="Imma (74)" pbc="T T T"
Li 0.000 2.009 1.419
Li 3.966 2.009 4.252
Pa 3.966 0.000 0.000
Pa 0.000 0.000 5.671
Sb 1.983 2.009 -2.836
Sb 1.983 -2.009 2.836
S 3.966 -0.074 2.707
S 2.104 2.009 -0.072
S 5.829 2.009 -0.072
S 3.966 3.945 -2.707
S 0.000 0.074 8.378
S -1.863 2.009 5.743
S 1.863 2.009 5.743
S 0.000 4.093 2.964


(2)
11
Lattice="3.273 -5.682 0.000 3.273 5.682 0.000 -2.213 0.000 6.143" Properties=species:S:1:pos:R:3 comment="Li2Sc2PaS6, relaxed, DFT GGA-PBE" space_group="C2/m (12)" pbc="T T T"
Li 3.273 3.750 0.000
Li 3.273 -3.750 0.000
Sc 2.166 1.883 3.072
Sc 2.166 -1.883 3.072
Pa -1.107 0.000 3.072
S -0.019 1.961 4.545
S 1.107 0.000 1.593
S -0.019 -1.961 4.545
S 4.352 1.961 1.598
S 3.225 0.000 4.550
S 4.352 -1.961 1.598


(3)
8
Lattice="6.571 0.000 0.000 0.000 3.759 0.000 -2.152 0.000 6.229" Properties=species:S:1:pos:R:3 comment="Li2ScPaS4, relaxed, DFT GGA-PBE" space_group="P2/m (10)" pbc="T T T"
Li 0.000 0.000 0.000
Li 3.285 1.879 0.000
Sc -1.076 1.879 3.114
Pa 2.209 0.000 3.114
S 1.024 1.879 1.508
S -0.027 0.000 4.645
S 4.445 0.000 1.584
S 3.395 1.879 4.721


(4)
12
Lattice="3.249 -5.628 0.000 3.249 5.628 0.000 -2.165 0.000 6.166" Properties=species:S:1:pos:R:3 comment="Li3Sc2PaS6, relaxed, DFT GGA-PBE" space_group="C2/m (12)" pbc="T T T"
Li 0.000 0.000 0.000
Li 3.249 1.895 0.000
Li 3.249 -1.895 0.000
Sc 2.166 3.755 3.083
Sc 2.166 -3.755 3.083
Pa 2.166 0.000 3.083
S 1.057 1.922 1.553
S -0.051 0.000 4.618
S 1.057 -1.922 1.553
S 3.276 1.922 4.613
S 4.384 0.000 1.548
S 3.276 -1.922 4.613


(5)
10
Lattice="3.302 1.907 5.941 -3.302 1.907 5.941 0.000 -3.813 5.941" Properties=species:S:1:pos:R:3 comment="LiSc2PaS6, relaxed, DFT GGA-PBE" space_group="R3 (146)" pbc="T T T"
Li 0.000 0.000 0.000
Sc 0.000 0.000 3.532
Sc 0.000 0.000 12.536
Pa 0.000 0.000 9.061
S -1.063 -2.081 7.817
S -2.001 0.126 10.791
S -1.270 1.961 7.817
S 0.891 -1.796 10.791
S 2.333 0.119 7.817
S 1.110 1.670 10.791


(6)
15
Lattice="3.738 2.158 6.267 -3.738 2.158 6.267 0.000 -4.316 6.267" Properties=species:S:1:pos:R:3 comment="LiSc3Pa3S8, relaxed, DFT GGA-PBE" space_group="R-3m (166)" pbc="T T T"
Li 0.000 0.000 0.000
Sc -1.869 -1.079 6.267
Sc -1.869 1.079 12.535
Sc 0.000 2.158 6.267
Pa -3.738 0.000 9.401
Pa -1.869 1.079 3.134
Pa 1.869 1.079 3.134
S 0.000 -2.131 7.750
S -1.846 1.066 7.750
S 0.000 0.000 4.837
S -1.846 -1.066 11.052
S 1.846 1.066 7.750
S 0.000 0.000 13.966
S 1.846 -1.066 11.052
S 0.000 2.131 11.052


(7)
10
Lattice="7.720 0.000 0.000 0.000 3.882 0.000 -1.085 0.000 7.798" Properties=species:S:1:pos:R:3 comment="LiPaSeS2, relaxed, DFT GGA-PBE" space_group="P2_1/m (11)" pbc="T T T"
Li 0.870 0.970 2.264
Li 5.765 2.911 5.534
Pa 2.066 0.970 5.879
Pa 4.569 2.911 1.919
Se 1.950 2.911 3.638
Se 4.686 0.970 4.160
S 0.294 2.911 6.403
S 2.938 0.970 0.960
S 3.697 2.911 6.838
S 6.342 0.970 1.395


(8)
18
Lattice="7.559 0.000 0.000 0.000 7.559 0.000 0.000 0.000 7.556" Properties=species:S:1:pos:R:3 comment="LiPa2SeS5, relaxed, DFT GGA-PBE" space_group="P4/mbm (127)" pbc="T T T"
Li 0.000 3.780 0.000
Li 3.780 0.000 0.000
Pa 1.266 2.514 3.778
Pa 2.514 6.294 3.778
Pa 5.045 1.266 3.778
Pa 6.294 5.045 3.778
Se 0.000 0.000 0.000
Se 3.780 3.780 0.000
S 0.000 0.000 3.778
S 1.060 4.839 2.117
S 1.060 4.839 5.439
S 2.720 1.060 2.117
S 2.720 1.060 5.439
S 3.780 3.780 3.778
S 4.839 6.500 2.117
S 4.839 6.500 5.439
S 6.500 2.720 2.117
S 6.500 2.720 5.439


Number 1: formation energy from raw total energies -1.05 eV/atom. Number 2: formation energy from raw total energies -1.69 eV/atom. Number 3: formation energy from raw total energies -1.60 eV/atom. Number 4: formation energy from raw total energies -1.66 eV/atom. Number 5: formation energy from raw total energies -1.67 eV/atom. Number 6: formation energy from raw total energies -1.71 eV/atom. Number 7: formation energy from raw total energies -1.42 eV/atom. Number 8: formation energy from raw total energies -1.10 eV/atom.